--- i ---
Cs2Zn2Bi after structural relaxation. Source: Alexandria via LeMat-Bulk, functional PBE-GGA.

a = 7.101 Å, b = 7.101 Å, c = 6.563 Å
α = 57.25°, β = 57.25°, γ = 90.00°
Sites, in units of the cell vectors:
Cs  0.750  0.250  0.500
Cs  0.250  0.750  0.500
Zn  0.340  0.340  0.319
Zn  0.660  0.660  0.681
Bi  0.000  0.000  0.000

Output
* symmetry: No. 139

---

--- ii ---
Cs2Zn2Bi after structural relaxation. Source: Alexandria via LeMat-Bulk, functional PBE-GGA.

a = 10.808 Å, b = 10.808 Å, c = 3.647 Å
α = 90.00°, β = 90.00°, γ = 90.00°
Sites, in units of the cell vectors:
Cs  0.301  0.801  0.000
Cs  0.801  0.699  0.000
Cs  0.699  0.199  0.000
Cs  0.199  0.301  0.000
Zn  0.089  0.589  0.500
Zn  0.589  0.911  0.500
Zn  0.911  0.411  0.500
Zn  0.411  0.089  0.500
Bi  0.000  0.000  0.000
Bi  0.500  0.500  0.000

Output
* symmetry: No. 127

---

--- iii ---
Cs2Zn2Bi after structural relaxation. Source: Alexandria via LeMat-Bulk, functional PBE-GGA.

a = 3.822 Å, b = 3.822 Å, c = 12.989 Å
α = 81.54°, β = 81.54°, γ = 90.00°
Sites, in units of the cell vectors:
Cs  0.388  0.388  0.224
Cs  0.612  0.612  0.776
Zn  0.750  0.250  0.500
Zn  0.250  0.750  0.500
Bi  0.000  0.000  0.000

Output
* symmetry: No. 139

---

--- iv ---
Cs2Zn2Bi after structural relaxation. Source: Alexandria via LeMat-Bulk, functional PBE-GGA.

a = 7.888 Å, b = 7.888 Å, c = 5.974 Å
α = 90.00°, β = 90.00°, γ = 90.00°
Sites, in units of the cell vectors:
Cs  0.186  0.686  0.500
Cs  0.686  0.814  0.500
Cs  0.814  0.314  0.500
Cs  0.314  0.186  0.500
Zn  0.380  0.880  0.000
Zn  0.880  0.620  0.000
Zn  0.620  0.120  0.000
Zn  0.120  0.380  0.000
Bi  0.000  0.000  0.000
Bi  0.500  0.500  0.000

Output
* symmetry: No. 127

---

The most stable arrangement is iv, and the next structure is 24 meV/atom less stable.

---

--- i ---
Cs2ZnBi after structural relaxation. Source: Alexandria via LeMat-Bulk, functional PBE-GGA.

a = 6.478 Å, b = 6.478 Å, c = 6.478 Å
α = 60.00°, β = 60.00°, γ = 60.00°
Sites, in units of the cell vectors:
Cs  0.250  0.250  0.250
Cs  0.750  0.750  0.750
Zn  0.000  0.000  0.000
Bi  0.500  0.500  0.500

Output
* symmetry: No. 225

---

--- ii ---
Cs2ZnBi after structural relaxation. Source: Alexandria via LeMat-Bulk, functional PBE-GGA.

a = 6.894 Å, b = 7.601 Å, c = 7.601 Å
α = 107.85°, β = 90.00°, γ = 90.00°
Sites, in units of the cell vectors:
Cs  0.750  0.011  0.677
Cs  0.250  0.989  0.323
Cs  0.250  0.323  0.989
Cs  0.750  0.677  0.011
Zn  0.000  0.500  0.500
Zn  0.500  0.500  0.500
Bi  0.750  0.257  0.257
Bi  0.250  0.743  0.743

Output
* symmetry: No. 63

---

--- iii ---
Cs2ZnBi after structural relaxation. Source: Alexandria via LeMat-Bulk, functional PBE-GGA.

a = 6.135 Å, b = 6.135 Å, c = 12.909 Å
α = 76.25°, β = 76.25°, γ = 90.00°
Sites, in units of the cell vectors:
Cs  0.607  0.125  0.250
Cs  0.143  0.625  0.250
Cs  0.375  0.393  0.750
Cs  0.875  0.857  0.750
Zn  0.500  0.500  0.000
Zn  0.250  0.750  0.500
Bi  0.000  0.000  0.000
Bi  0.750  0.250  0.500

Output
* symmetry: No. 122

---

The most stable arrangement is ii, and the next structure is 152 meV/atom less stable.

---

--- i ---
CsZn3Bi after structural relaxation. Source: Alexandria via LeMat-Bulk, functional PBE-GGA.

a = 5.763 Å, b = 5.763 Å, c = 5.763 Å
α = 90.00°, β = 90.00°, γ = 90.00°
Sites, in units of the cell vectors:
Cs  0.500  0.500  0.500
Zn  0.000  0.500  0.000
Zn  0.000  0.000  0.500
Zn  0.500  0.000  0.000
Bi  0.000  0.000  0.000

Output
* symmetry: No. 221

---

--- ii ---
CsZn3Bi after structural relaxation. Source: Alexandria via LeMat-Bulk, functional PBE-GGA.

a = 6.662 Å, b = 6.662 Å, c = 6.662 Å
α = 90.00°, β = 90.00°, γ = 90.00°
Sites, in units of the cell vectors:
Cs  0.000  0.000  0.000
Zn  0.000  0.500  0.000
Zn  0.000  0.000  0.500
Zn  0.500  0.000  0.000
Bi  0.500  0.500  0.500

Output
* symmetry: No. 221

---

The most stable arrangement is i, and the next structure is 730 meV/atom less stable.

---

--- i ---
CsZr2Bi2 after structural relaxation. Source: Alexandria via LeMat-Bulk, functional PBE-GGA.

a = 9.415 Å, b = 9.415 Å, c = 3.362 Å
α = 90.00°, β = 90.00°, γ = 90.00°
Sites, in units of the cell vectors:
Cs  0.000  0.000  0.000
Cs  0.500  0.500  0.000
Zr  0.888  0.388  0.000
Zr  0.612  0.888  0.000
Zr  0.112  0.612  0.000
Zr  0.388  0.112  0.000
Bi  0.669  0.169  0.500
Bi  0.831  0.669  0.500
Bi  0.331  0.831  0.500
Bi  0.169  0.331  0.500

Output
* symmetry: No. 127

---

--- ii ---
CsZr2Bi2 after structural relaxation. Source: Alexandria via LeMat-Bulk, functional PBE-GGA.

a = 9.625 Å, b = 9.625 Å, c = 3.360 Å
α = 90.00°, β = 90.00°, γ = 90.00°
Sites, in units of the cell vectors:
Cs  0.000  0.000  0.000
Cs  0.500  0.500  0.000
Bi  0.338  0.838  0.000
Bi  0.838  0.662  0.000
Bi  0.662  0.162  0.000
Bi  0.162  0.338  0.000
Zr  0.113  0.613  0.500
Zr  0.613  0.887  0.500
Zr  0.887  0.387  0.500
Zr  0.387  0.113  0.500

Output
* symmetry: No. 127

---

The most stable arrangement is i, and the next structure is 83 meV/atom less stable.

---

--- i ---
Cs2ZrBi2 after structural relaxation. Source: Alexandria via LeMat-Bulk, functional PBE-GGA.

a = 7.508 Å, b = 9.812 Å, c = 9.812 Å
α = 51.02°, β = 67.51°, γ = 67.51°
Sites, in units of the cell vectors:
Cs  0.350  0.308  0.992
Cs  0.650  0.692  0.008
Cs  0.150  0.008  0.692
Cs  0.850  0.992  0.308
Zr  0.250  0.500  0.500
Zr  0.750  0.500  0.500
Bi  0.101  0.580  0.218
Bi  0.899  0.420  0.782
Bi  0.399  0.782  0.420
Bi  0.601  0.218  0.580

Output
* symmetry: No. 72

---

--- ii ---
Cs2ZrBi2 after structural relaxation. Source: Alexandria via LeMat-Bulk, functional PBE-GGA.

a = 7.978 Å, b = 7.978 Å, c = 6.623 Å
α = 90.00°, β = 90.00°, γ = 90.00°
Sites, in units of the cell vectors:
Cs  0.168  0.668  0.500
Cs  0.668  0.832  0.500
Cs  0.832  0.332  0.500
Cs  0.332  0.168  0.500
Bi  0.351  0.851  0.000
Bi  0.851  0.649  0.000
Bi  0.649  0.149  0.000
Bi  0.149  0.351  0.000
Zr  0.000  0.000  0.000
Zr  0.500  0.500  0.000

Output
* symmetry: No. 127

---

The most stable arrangement is i, and the next structure is 326 meV/atom less stable.

---

--- i ---
CuBi3 after structural relaxation. Source: Alexandria via LeMat-Bulk, functional PBE-GGA.

a = 3.405 Å, b = 5.235 Å, c = 7.019 Å
α = 111.90°, β = 104.04°, γ = 90.00°
Sites, in units of the cell vectors:
Bi  0.323  0.707  0.645
Bi  0.500  0.428  0.000
Bi  0.677  0.062  0.355
Cu  0.000  0.970  0.000

Output
* symmetry: No. 44

---

--- ii ---
CuBi3 after structural relaxation. Source: Alexandria via LeMat-Bulk, functional PBE-GGA.

a = 3.462 Å, b = 3.347 Å, c = 9.650 Å
α = 90.00°, β = 90.00°, γ = 90.00°
Sites, in units of the cell vectors:
Bi  0.000  0.500  0.451
Bi  0.500  0.500  0.148
Bi  0.500  0.000  0.754
Cu  0.000  0.000  0.980

Output
* symmetry: No. 25

---

The most stable arrangement is i, and the next structure is 19 meV/atom less stable.

---

--- i ---
Sr2DyCu2Bi2O8 after structural relaxation. Source: Alexandria via LeMat-Bulk, functional PBE-GGA.

a = 15.597 Å, b = 15.597 Å, c = 15.597 Å
α = 166.04°, β = 166.04°, γ = 19.79°
Sites, in units of the cell vectors:
Sr  0.114  0.114  0.000
Sr  0.886  0.886  0.000
Cu  0.448  0.448  0.000
Cu  0.552  0.552  0.000
Bi  0.297  0.297  0.000
Bi  0.703  0.703  0.000
O  0.548  0.048  0.500
O  0.452  0.952  0.500
O  0.048  0.548  0.500
O  0.952  0.452  0.500
O  0.201  0.201  0.000
O  0.799  0.799  0.000
O  0.366  0.366  0.000
O  0.634  0.634  0.000
Dy  0.000  0.000  0.000

Output
* symmetry: No. 139

---

--- ii ---
Sr2DyCu2Bi2O8 after structural relaxation. Source: Alexandria via LeMat-Bulk, functional PBE-GGA.

a = 15.544 Å, b = 15.544 Å, c = 5.347 Å
α = 90.00°, β = 90.00°, γ = 159.58°
Sites, in units of the cell vectors:
Sr  0.616  0.891  0.500
Sr  0.384  0.109  0.500
Sr  0.109  0.384  0.000
Sr  0.891  0.616  0.000
Dy  0.500  0.000  0.500
Dy  0.000  0.500  0.000
Cu  0.050  0.450  0.500
Cu  0.950  0.550  0.500
Cu  0.550  0.950  0.000
Cu  0.450  0.050  0.000
Bi  0.219  0.314  0.500
Bi  0.781  0.686  0.500
Bi  0.686  0.781  0.000
Bi  0.314  0.219  0.000
O  0.108  0.340  0.500
O  0.892  0.660  0.500
O  0.660  0.892  0.000
O  0.340  0.108  0.000
O  0.701  0.299  0.750
O  0.299  0.701  0.250
O  0.299  0.701  0.750
O  0.701  0.299  0.250
O  0.608  0.710  0.500
O  0.392  0.290  0.500
O  0.290  0.392  0.000
O  0.710  0.608  0.000
O  0.797  0.203  0.750
O  0.203  0.797  0.250
O  0.203  0.797  0.750
O  0.797  0.203  0.250

Output
* symmetry: No. 66

---

The most stable arrangement is ii, and the next structure is 35 meV/atom less stable.

---

--- i ---
Er2CuBi after structural relaxation. Source: Alexandria via LeMat-Bulk, functional PBE-GGA.

a = 3.785 Å, b = 3.785 Å, c = 9.858 Å
α = 78.93°, β = 78.93°, γ = 60.00°
Sites, in units of the cell vectors:
Bi  0.000  0.000  0.000
Cu  0.500  0.500  0.500
Er  0.108  0.108  0.675
Er  0.892  0.892  0.325

Output
* symmetry: No. 166

---

--- ii ---
Er2CuBi after structural relaxation. Source: Alexandria via LeMat-Bulk, functional PBE-GGA.

a = 4.198 Å, b = 6.140 Å, c = 8.295 Å
α = 109.75°, β = 90.00°, γ = 90.00°
Sites, in units of the cell vectors:
Er  0.750  0.252  0.445
Er  0.250  0.748  0.555
Er  0.750  0.676  0.908
Er  0.250  0.324  0.092
Cu  0.750  0.624  0.291
Cu  0.250  0.376  0.709
Bi  0.750  0.113  0.789
Bi  0.250  0.887  0.211

Output
* symmetry: No. 11

---

The most stable arrangement is ii, and the next structure is 483 meV/atom less stable.

---

--- i ---
CuBiF after structural relaxation. Source: Alexandria via LeMat-Bulk, functional PBE-GGA.

a = 4.043 Å, b = 4.197 Å, c = 6.674 Å
α = 90.00°, β = 101.88°, γ = 90.00°
Sites, in units of the cell vectors:
Bi  0.439  0.089  0.794
Bi  0.561  0.589  0.206
Cu  0.002  0.089  0.108
Cu  0.998  0.589  0.892
F  0.769  0.615  0.599
F  0.231  0.115  0.401

Output
* symmetry: No. 4

---

--- ii ---
CuBiF after structural relaxation. Source: Alexandria via LeMat-Bulk, functional PBE-GGA.

a = 3.337 Å, b = 3.329 Å, c = 11.398 Å
α = 90.00°, β = 90.00°, γ = 120.08°
Sites, in units of the cell vectors:
Cu  0.573  0.146  0.000
Cu  0.355  0.710  0.500
F  0.637  0.275  0.388
F  0.637  0.275  0.612
Bi  0.232  0.464  0.815
Bi  0.232  0.464  0.185

Output
* symmetry: No. 38

---

--- iii ---
CuBiF after structural relaxation. Source: Alexandria via LeMat-Bulk, functional PBE-GGA.

a = 3.423 Å, b = 5.559 Å, c = 6.948 Å
α = 101.31°, β = 119.31°, γ = 90.01°
Sites, in units of the cell vectors:
Bi  0.464  0.688  0.216
Bi  0.536  0.312  0.784
Cu  0.650  0.836  0.899
Cu  0.350  0.164  0.101
F  0.696  0.223  0.444
F  0.304  0.777  0.556

Output
* symmetry: No. 2

---

The most stable arrangement is i, and the next structure is 28 meV/atom less stable.

---

--- i ---
CuBiF after structural relaxation. Source: Alexandria via LeMat-Bulk, functional PBE-GGA.

a = 6.822 Å, b = 3.296 Å, c = 11.954 Å
α = 90.00°, β = 124.42°, γ = 90.00°
Sites, in units of the cell vectors:
Bi  0.118  0.000  0.909
Bi  0.882  0.000  0.091
Bi  0.118  0.500  0.409
Bi  0.882  0.500  0.591
Cu  0.726  0.000  0.262
Cu  0.274  0.000  0.738
Cu  0.726  0.500  0.762
Cu  0.274  0.500  0.238
F  0.517  0.000  0.346
F  0.483  0.000  0.654
F  0.517  0.500  0.846
F  0.483  0.500  0.154

Output
* symmetry: No. 12

---

--- ii ---
CuBiF after structural relaxation. Source: Alexandria via LeMat-Bulk, functional PBE-GGA.

a = 13.111 Å, b = 4.077 Å, c = 4.051 Å
α = 90.00°, β = 90.00°, γ = 90.00°
Sites, in units of the cell vectors:
Bi  0.676  0.000  0.000
Bi  0.324  0.000  0.500
Bi  0.176  0.500  0.000
Bi  0.824  0.500  0.500
Cu  0.883  0.000  0.000
Cu  0.117  0.000  0.500
Cu  0.383  0.500  0.000
Cu  0.617  0.500  0.500
F  0.000  0.227  0.250
F  0.000  0.773  0.750
F  0.500  0.727  0.250
F  0.500  0.273  0.750

Output
* symmetry: No. 20

---

The most stable arrangement is ii, and the next structure is 6 meV/atom less stable.